1.
Below is an optimized crystal structure of Mn3TeS, with properties calculated at the PBE-GGA level.

Properties
As for the space group: No. 221. Its formation energy (no corrections) is 0.962 eV per atom. The value obtained for the energy above the lowest structure with this stoichiometry is 760 meV per atom. For the density of states at the Fermi level, the calculation gives 5.1 states/eV/cell. The total magnetization is 13.00 Bohr magnetons per cell.

Structure (POSCAR):
```
Mn3TeS
1.0
5.035 0.000 0.000
0.000 5.035 0.000
0.000 0.000 5.035
Mn Te S
3 1 1
Direct
0.000 0.000 0.500
0.000 0.500 0.000
0.500 0.000 0.000
0.000 0.000 0.000
0.500 0.500 0.500
```

=====

2.
Below is an optimized crystal structure of SrTlCr2B, with properties calculated at the PBE-GGA level.

Properties
As for the space group: No. 123. For the density of states at the Fermi level, the calculation gives 2.4 states/eV/cell. For the energy of formation, the calculation gives 132.6 kJ per mole of atoms. The total magnetization is 8.89 Bohr magnetons per cell.

Structure (POSCAR):
```
SrTlCr2B
1.0
5.384 0.000 0.000
0.000 5.384 0.000
0.000 0.000 4.482
Sr Tl Cr B
1 1 2 1
Direct
0.000 0.000 0.000
0.500 0.500 0.500
0.000 0.500 0.500
0.500 0.000 0.500
0.500 0.500 0.000
```

=====

3.
Below is an optimized crystal structure of PmPr2Sm5, with properties calculated at the PBE-GGA level.

Properties
As for the space group: No. 15. The value obtained for the energy above the lowest structure with this stoichiometry is 139 meV per atom. For the density of states at the Fermi level, the calculation gives 25.0 states/eV/cell. For the energy of formation, the calculation gives 14.9 kJ per mole of atoms. The total magnetization is 0.00 Bohr magnetons per cell.

Structure (POSCAR):
```
PmPr2Sm5
1.0
8.334 -5.080 0.000
8.334 5.080 0.000
-1.027 0.000 6.551
Pm Pr Sm
2 4 10
Direct
0.000 0.500 0.000
0.500 0.000 0.500
0.166 0.675 0.877
0.325 0.834 0.623
0.675 0.166 0.377
0.834 0.325 0.123
0.010 0.186 0.649
0.186 0.010 0.149
0.211 0.387 0.475
0.387 0.211 0.975
0.439 0.561 0.250
0.561 0.439 0.750
0.613 0.789 0.025
0.789 0.613 0.525
0.814 0.990 0.851
0.990 0.814 0.351
```

=====

4.
Below is an optimized crystal structure of Ho4In5, with properties calculated at the PBE-GGA level.

Properties
As for the space group: No. 193. For the density of states at the Fermi level, the calculation gives 13.6 states/eV/cell. For the energy of formation, the calculation gives -38.1 kJ per mole of atoms. The total magnetization is 0.00 Bohr magnetons per cell.

Structure (POSCAR):
```
Ho4In5
1.0
9.228 0.000 0.000
-4.614 7.992 0.000
0.000 0.000 6.445
Ho In
8 10
Direct
0.000 0.000 0.000
0.000 0.000 0.500
0.000 0.367 0.250
0.000 0.633 0.750
0.367 0.000 0.250
0.367 0.367 0.750
0.633 0.000 0.750
0.633 0.633 0.250
0.000 0.301 0.750
0.000 0.699 0.250
0.301 0.000 0.750
0.301 0.301 0.250
0.333 0.667 0.000
0.333 0.667 0.500
0.667 0.333 0.000
0.667 0.333 0.500
0.699 0.000 0.250
0.699 0.699 0.750
```